Record 1
# Ce2Tm2Ga3 | Alexandria | PBE-GGA | relaxed
data_Ce2Tm2Ga3
_chemical_formula_sum 'Ce4 Tm4 Ga6'
_symmetry_space_group_name_H-M 'C m m m'
_symmetry_Int_Tables_number 65
_symmetry_space_group_name_Hall '-C 2 2'
_cell_length_a 4.0742
_cell_length_b 23.6814
_cell_length_c 3.2809
_cell_angle_alpha 90.00
_cell_angle_beta 90.00
_cell_angle_gamma 90.00
loop_
_atom_site_label
_atom_site_fract_x
_atom_site_fract_y
_atom_site_fract_z
Ce1 0.0000 0.2104 0.0000
Tm1 0.0000 0.0696 0.0000
Ga1 0.0000 0.3647 0.5000
Ga2 0.0000 0.5000 0.5000
# **Calculated total energy**: -4.680 eV/atom

=====

Record 2
# RbBa2SrAg | Alexandria | PBE-GGA | relaxed
data_RbBa2SrAg
_chemical_formula_sum 'Rb1 Ba2 Sr1 Ag1'
_symmetry_space_group_name_H-M 'P 4/m m m'
_symmetry_Int_Tables_number 123
_symmetry_space_group_name_Hall '-P 4 2'
_cell_length_a 6.6250
_cell_length_b 6.6250
_cell_length_c 6.8177
_cell_angle_alpha 90.00
_cell_angle_beta 90.00
_cell_angle_gamma 90.00
loop_
_atom_site_label
_atom_site_fract_x
_atom_site_fract_y
_atom_site_fract_z
Rb1 0.0000 0.0000 0.0000
Ba1 0.0000 0.5000 0.5000
Sr1 0.5000 0.5000 0.0000
Ag1 0.0000 0.0000 0.5000
# **Excess energy over the best structure of this formula in the dataset**: 100.6 meV/atom
# **Calculated total energy**: -1.816 eV/atom

=====

Record 3
# BaCd2Sn2 | Alexandria | PBE-GGA | relaxed
data_BaCd2Sn2
_chemical_formula_sum 'Ba2 Cd4 Sn4'
_symmetry_space_group_name_H-M 'P 4/m b m'
_symmetry_Int_Tables_number 127
_symmetry_space_group_name_Hall '-P 4 2ab'
_cell_length_a 8.8569
_cell_length_b 8.8569
_cell_length_c 3.7304
_cell_angle_alpha 90.00
_cell_angle_beta 90.00
_cell_angle_gamma 90.00
loop_
_atom_site_label
_atom_site_fract_x
_atom_site_fract_y
_atom_site_fract_z
Ba1 0.0000 0.0000 0.0000
Cd1 0.1207 0.3793 0.0000
Sn1 0.1722 0.6722 0.5000
# **Calculated total energy**: -2.572 eV/atom

=====

Record 4
# HoB3Os3 | Alexandria | PBE-GGA | relaxed
data_HoB3Os3
_chemical_formula_sum 'Ho2 B6 Os6'
_symmetry_space_group_name_H-M 'P m -3 n'
_symmetry_Int_Tables_number 223
_symmetry_space_group_name_Hall '-P 4n 2 3'
_cell_length_a 5.8600
_cell_length_b 5.8600
_cell_length_c 5.8600
_cell_angle_alpha 90.00
_cell_angle_beta 90.00
_cell_angle_gamma 90.00
loop_
_atom_site_label
_atom_site_fract_x
_atom_site_fract_y
_atom_site_fract_z
Ho1 0.0000 0.0000 0.0000
B1 0.0000 0.2500 0.5000
Os1 0.0000 0.5000 0.2500
# **Excess energy over the best structure of this formula in the dataset**: 164.4 meV/atom
# **Calculated total energy**: -8.307 eV/atom

=====

Record 5
# YMnSb2 | Alexandria | PBE-GGA | relaxed
data_YMnSb2
_chemical_formula_sum 'Y2 Mn2 Sb4'
_symmetry_space_group_name_H-M 'C 1 2/m 1'
_symmetry_Int_Tables_number 12
_cell_length_a 6.5253
_cell_length_b 7.3684
_cell_length_c 3.9789
_cell_angle_alpha 90.00
_cell_angle_beta 90.46
_cell_angle_gamma 90.00
loop_
_symmetry_equiv_pos_as_xyz
'x,y,z'
'-x,-y,-z'
'-x,y,-z'
'x,-y,z'
'x+1/2,y+1/2,z'
'-x+1/2,-y+1/2,-z'
'-x+1/2,y+1/2,-z'
'x+1/2,-y+1/2,z'
loop_
_atom_site_label
_atom_site_fract_x
_atom_site_fract_y
_atom_site_fract_z
Y1 0.0000 0.0000 0.0000
Mn1 0.0000 0.5000 0.0000
Sb1 0.2500 0.2500 0.5000
# **Calculated total energy**: -6.256 eV/atom
# **ΔE_f (raw)**: -286 meV per atom

=====

Record 6
# BaCa2Ru | Alexandria | PBE-GGA | relaxed
data_BaCa2Ru
_chemical_formula_sum 'Ba2 Ca4 Ru2'
_symmetry_space_group_name_H-M 'C m m 2'
_symmetry_Int_Tables_number 35
_cell_length_a 5.2262
_cell_length_b 5.2423
_cell_length_c 9.7342
_cell_angle_alpha 90.00
_cell_angle_beta 90.00
_cell_angle_gamma 90.00
loop_
_symmetry_equiv_pos_as_xyz
'x,y,z'
'-x,-y,z'
'-x,y,z'
'x,-y,z'
'x+1/2,y+1/2,z'
'-x+1/2,-y+1/2,z'
'-x+1/2,y+1/2,z'
'x+1/2,-y+1/2,z'
loop_
_atom_site_label
_atom_site_fract_x
_atom_site_fract_y
_atom_site_fract_z
Ba1 0.0000 0.0000 0.0000
Ca1 0.0000 0.0000 0.6473
Ca2 0.0000 0.5000 0.3569
Ru1 0.0000 0.5000 0.7986
# **Excess energy over the best structure of this formula in the dataset**: 63.3 meV/atom
# **Calculated total energy**: -3.504 eV/atom

=====

Record 7
# SrAu2Se2 | Alexandria | PBE-GGA | relaxed
data_SrAu2Se2
_chemical_formula_sum 'Sr2 Au4 Se4'
_symmetry_space_group_name_H-M 'P 4/m b m'
_symmetry_Int_Tables_number 127
_symmetry_space_group_name_Hall '-P 4 2ab'
_cell_length_a 7.8807
_cell_length_b 7.8807
_cell_length_c 3.8129
_cell_angle_alpha 90.00
_cell_angle_beta 90.00
_cell_angle_gamma 90.00
loop_
_atom_site_label
_atom_site_fract_x
_atom_site_fract_y
_atom_site_fract_z
Sr1 0.0000 0.0000 0.0000
Au1 0.1191 0.3809 0.0000
Se1 0.2082 0.7082 0.5000
# **Calculated total energy**: -3.563 eV/atom
# **ΔE_f (raw)**: -522 meV per atom

=====

Record 8
# Tb2PuRh | Alexandria | PBE-GGA | relaxed
data_Tb2PuRh
_chemical_formula_sum 'Tb2 Pu1 Rh1'
_symmetry_space_group_name_H-M 'P 4/m m m'
_symmetry_Int_Tables_number 123
_symmetry_space_group_name_Hall '-P 4 2'
_cell_length_a 3.4498
_cell_length_b 3.4498
_cell_length_c 8.5783
_cell_angle_alpha 90.00
_cell_angle_beta 90.00
_cell_angle_gamma 90.00
loop_
_atom_site_label
_atom_site_fract_x
_atom_site_fract_y
_atom_site_fract_z
Tb1 0.0000 0.0000 0.1958
Pu1 0.5000 0.5000 0.5000
Rh1 0.5000 0.5000 0.0000
# **Excess energy over the best structure of this formula in the dataset**: 0.0 meV/atom
# **Calculated total energy**: -8.057 eV/atom

=====

Record 9
# Ru5C7 | Alexandria | PBE-GGA | relaxed
data_Ru5C7
_chemical_formula_sum 'Ru10 C14'
_symmetry_space_group_name_H-M 'I 4 m m'
_symmetry_Int_Tables_number 107
_symmetry_space_group_name_Hall 'I 4 -2'
_cell_length_a 6.8193
_cell_length_b 6.8193
_cell_length_c 5.1502
_cell_angle_alpha 90.00
_cell_angle_beta 90.00
_cell_angle_gamma 90.00
loop_
_atom_site_label
_atom_site_fract_x
_atom_site_fract_y
_atom_site_fract_z
Ru1 0.0000 0.0000 0.0000
Ru2 0.2008 0.2008 0.4358
C1 0.0000 0.0000 0.6037
C2 0.0000 0.3047 0.1276
C3 0.0000 0.5000 0.0873
# **Calculated total energy**: -8.364 eV/atom

=====

Record 10
# SrVH | Alexandria | PBE-GGA | relaxed
data_SrVH
_chemical_formula_sum 'Sr2 V2 H2'
_symmetry_space_group_name_H-M 'P 63/m m c'
_symmetry_Int_Tables_number 194
_symmetry_space_group_name_Hall '-P 6c 2c'
_cell_length_a 5.2566
_cell_length_b 5.2566
_cell_length_c 6.5048
_cell_angle_alpha 90.00
_cell_angle_beta 90.00
_cell_angle_gamma 120.00
loop_
_atom_site_label
_atom_site_fract_x
_atom_site_fract_y
_atom_site_fract_z
Sr1 0.3333 0.6667 0.2500
V1 0.3333 0.6667 0.7500
H1 0.0000 0.0000 0.0000
# **Excess energy over the best structure of this formula in the dataset**: 1300.7 meV/atom
# **Calculated total energy**: -3.297 eV/atom

=====

Record 11
# LaCuRe2 | Alexandria | PBE-GGA | relaxed
data_LaCuRe2
_chemical_formula_sum 'La1 Cu1 Re2'
_symmetry_space_group_name_H-M 'P 1 m 1'
_symmetry_Int_Tables_number 6
_cell_length_a 3.0515
_cell_length_b 4.2763
_cell_length_c 5.9039
_cell_angle_alpha 90.00
_cell_angle_beta 101.30
_cell_angle_gamma 90.00
loop_
_symmetry_equiv_pos_as_xyz
'x,y,z'
'x,-y,z'
loop_
_atom_site_label
_atom_site_fract_x
_atom_site_fract_y
_atom_site_fract_z
La1 0.0000 0.0000 0.0000
Cu1 0.4033 0.5000 0.7582
Re1 0.3615 0.0000 0.4841
Re2 0.7436 0.5000 0.3856
# **Excess energy over the best structure of this formula in the dataset**: 228.1 meV/atom
# **Calculated total energy**: -8.131 eV/atom

=====

Record 12
# Ag2Bi2Br | Alexandria | PBE-GGA | relaxed
data_Ag2Bi2Br
_chemical_formula_sum 'Ag4 Bi4 Br2'
_symmetry_space_group_name_H-M 'P 4/m b m'
_symmetry_Int_Tables_number 127
_symmetry_space_group_name_Hall '-P 4 2ab'
_cell_length_a 8.7576
_cell_length_b 8.7576
_cell_length_c 3.4462
_cell_angle_alpha 90.00
_cell_angle_beta 90.00
_cell_angle_gamma 90.00
loop_
_atom_site_label
_atom_site_fract_x
_atom_site_fract_y
_atom_site_fract_z
Ag1 0.1149 0.3851 0.0000
Bi1 0.1837 0.6837 0.5000
Br1 0.0000 0.0000 0.5000
# **Excess energy over the best structure of this formula in the dataset**: 0.0 meV/atom
# **Calculated total energy**: -2.971 eV/atom
# **ΔE_f (raw)**: 56 meV per atom

=====

Record-wise total magnetic moment values, in μB/atom: 0.14, 0.00, 0.00, 0.00, 0.97, 0.00, 0.00, 1.69, 0.00, 1.59, 0.00, 0.00